[1]
Computed, not measured: YCu2NCl after structural relaxation at the PBEsol level of DFT.

Output
Calculated density, g cm⁻³: 4.64
Formation energy (no corrections), meV/atom: 742
Energy, Ry/atom: -0.328

Unit cell a=3.974 b=3.974 c=6.020 alpha=90.00 beta=90.00 gamma=90.00
Element x y z (fractional)
Y (0.500, 0.500, 0.500)
N (0.000, 0.000, 0.500)
Cu (0.000, 0.500, 0.000)
Cu (0.500, 0.000, 0.000)
Cl (0.000, 0.000, 0.000)

***

[2]
Computed, not measured: BeTlH2Rh after structural relaxation at the PBEsol level of DFT.

Output
Calculated density, g cm⁻³: 8.04
Energy, Ry/atom: -0.251

Unit cell a=3.415 b=3.415 c=5.636 alpha=90.00 beta=90.00 gamma=90.00
Element x y z (fractional)
Be (0.000, 0.000, 0.500)
Tl (0.000, 0.000, 0.000)
Rh (0.500, 0.500, 0.500)
H (0.000, 0.500, 0.000)
H (0.500, 0.000, 0.000)

***

[3]
Computed, not measured: ZrCrTc3 after structural relaxation at the PBEsol level of DFT.

Output
Calculated density, g cm⁻³: 8.67
Energy, Ry/atom: -0.731
Calculated formation energy, meV/atom: 679

Unit cell a=4.375 b=4.375 c=4.375 alpha=90.00 beta=90.00 gamma=90.00
Element x y z (fractional)
Cr (0.000, 0.000, 0.000)
Tc (0.000, 0.500, 0.000)
Tc (0.000, 0.000, 0.500)
Tc (0.500, 0.000, 0.000)
Zr (0.500, 0.500, 0.500)

***

[4]
Computed, not measured: Si2IrSe after structural relaxation at the PBEsol level of DFT.

Output
Calculated density, g cm⁻³: 9.15
Formation energy (no corrections), meV/atom: 283
Energy, Ry/atom: -0.442

Unit cell a=4.057 b=4.610 c=4.057 alpha=63.89 beta=90.00 gamma=116.11
Element x y z (fractional)
Si (0.250, 0.500, 0.250)
Si (0.750, 0.500, 0.750)
Ir (0.500, 0.000, 0.500)
Se (0.000, 0.000, 0.000)

***

[5]
Computed, not measured: LiInTe after structural relaxation at the PBEsol level of DFT.

Output
Calculated density, g cm⁻³: 4.48
Formation energy (no corrections), meV/atom: -151
Energy, Ry/atom: -0.219

Unit cell a=5.075 b=5.075 c=5.075 alpha=60.00 beta=60.00 gamma=60.00
Element x y z (fractional)
Te (0.500, 0.500, 0.500)
In (0.250, 0.250, 0.250)
Li (0.000, 0.000, 0.000)

***

[6]
Computed, not measured: Li2CaCd after structural relaxation at the PBEsol level of DFT.

Output
Calculated density, g cm⁻³: 3.09
Energy, Ry/atom: -0.145
Calculated formation energy, meV/atom: -154

Unit cell a=4.570 b=4.570 c=5.366 alpha=115.20 beta=115.20 gamma=90.00
Element x y z (fractional)
Ca (0.500, 0.500, 0.000)
Cd (0.000, 0.000, 0.000)
Li (0.750, 0.250, 0.500)
Li (0.250, 0.750, 0.500)

***

[7]
Computed, not measured: Re2TcAg after structural relaxation at the PBEsol level of DFT.

Output
Calculated density, g cm⁻³: 16.44
Energy, Ry/atom: -0.721
Calculated formation energy, meV/atom: 504

Unit cell a=3.861 b=3.861 c=3.918 alpha=90.00 beta=90.00 gamma=90.00
Element x y z (fractional)
Ag (0.000, 0.000, 0.500)
Re (0.000, 0.500, 0.000)
Re (0.500, 0.000, 0.000)
Tc (0.500, 0.500, 0.500)

***

[8]
Computed, not measured: YHgPb2 after structural relaxation at the PBEsol level of DFT.

Output
Calculated density, g cm⁻³: 11.42
Energy, Ry/atom: -0.308
Calculated formation energy, meV/atom: -348

Unit cell a=4.388 b=4.611 c=5.977 alpha=112.69 beta=111.54 gamma=90.00
Element x y z (fractional)
Pb (0.992, 0.992, 0.984)
Pb (0.753, 0.253, 0.507)
Y (0.508, 0.508, 0.017)
Hg (0.246, 0.746, 0.493)